# 1
First-principles (PBE) data for crystalline AcPm3Bi4 at its relaxed geometry, as listed in Alexandria.

CIF file:
```
data_AcPm3Bi4
_chemical_formula_sum 'Ac2 Pm6 Bi8'
_cell_length_a 9.3226
_cell_length_b 13.1693
_cell_length_c 4.6580
_cell_angle_alpha 90.00
_cell_angle_beta 90.00
_cell_angle_gamma 90.00
_space_group_name_H-M_alt 'C m m m'
_space_group_IT_number 65
_space_group_name_Hall '-C 2 2'
loop_
_atom_site_label
_atom_site_type_symbol
_atom_site_fract_x
_atom_site_fract_y
_atom_site_fract_z
Ac1 Ac 0.0000 0.0000 0.0000
Pm1 Pm 0.0000 0.5000 0.0000
Pm2 Pm 0.2500 0.2500 0.5000
Bi1 Bi 0.0000 0.2553 0.0000
Bi2 Bi 0.2390 0.5000 0.5000
```

## Properties
The density of states at the Fermi level is 2.089 states/eV per cell. The value obtained for the calculated formation energy is -940 meV/atom. Its total magnetization is 0.00 μB/cell. For the volume, the calculation gives 571.9 Å³ per cell. For the polymorph energy (0 for the lowest one), the calculation gives 0 meV per atom.

# 2
First-principles (PBE) data for crystalline AcPmBi2 at its relaxed geometry, as listed in Alexandria.

CIF file:
```
data_AcPmBi2
_chemical_formula_sum 'Ac2 Pm2 Bi4'
_cell_length_a 4.7047
_cell_length_b 4.7047
_cell_length_c 15.6035
_cell_angle_alpha 90.00
_cell_angle_beta 90.00
_cell_angle_gamma 120.00
_space_group_name_H-M_alt 'P 63/m m c'
_space_group_IT_number 194
_space_group_name_Hall '-P 6c 2c'
loop_
_atom_site_label
_atom_site_type_symbol
_atom_site_fract_x
_atom_site_fract_y
_atom_site_fract_z
Ac1 Ac 0.3333 0.6667 0.2500
Pm1 Pm 0.0000 0.0000 0.0000
Bi1 Bi 0.3333 0.6667 0.6153
```

## Properties
The density of states at the Fermi level is 1.284 states/eV per cell. The value obtained for the calculated formation energy is -922 meV/atom. Its total magnetization is 0.00 μB/cell. For the volume, the calculation gives 299.1 Å³ per cell. For the polymorph energy (0 for the lowest one), the calculation gives 39 meV per atom.

# 3
First-principles (PBE) data for crystalline AcPm3Bi2 at its relaxed geometry, as listed in Alexandria.

CIF file:
```
data_AcPm3Bi2
_chemical_formula_sum 'Ac4 Pm12 Bi8'
_cell_length_a 19.5619
_cell_length_b 4.6138
_cell_length_c 10.1596
_cell_angle_alpha 90.00
_cell_angle_beta 114.58
_cell_angle_gamma 90.00
_space_group_name_H-M_alt 'C 1 2/m 1'
_space_group_IT_number 12
loop_
_space_group_symop_operation_xyz
'x,y,z'
'-x,-y,-z'
'-x,y,-z'
'x,-y,z'
'x+1/2,y+1/2,z'
'-x+1/2,-y+1/2,-z'
'-x+1/2,y+1/2,-z'
'x+1/2,-y+1/2,z'
loop_
_atom_site_label
_atom_site_type_symbol
_atom_site_fract_x
_atom_site_fract_y
_atom_site_fract_z
Ac1 Ac 0.1138 0.0000 0.1279
Pm1 Pm 0.0588 0.0000 0.6719
Pm2 Pm 0.1410 0.5000 0.4746
Pm3 Pm 0.1886 0.5000 0.8880
Bi1 Bi 0.0125 0.5000 0.8396
Bi2 Bi 0.2427 0.0000 0.7078
```

## Properties
The density of states at the Fermi level is 29.559 states/eV per cell. The value obtained for the calculated formation energy is -550 meV/atom. Its total magnetization is 0.91 μB/cell. For the volume, the calculation gives 833.9 Å³ per cell.

# 4
First-principles (PBE) data for crystalline AcPmBi2 at its relaxed geometry, as listed in Alexandria.

CIF file:
```
data_AcPmBi2
_chemical_formula_sum 'Ac4 Pm4 Bi8'
_cell_length_a 8.1563
_cell_length_b 8.1563
_cell_length_c 8.1563
_cell_angle_alpha 90.00
_cell_angle_beta 90.00
_cell_angle_gamma 90.00
_space_group_name_H-M_alt 'F m -3 m'
_space_group_IT_number 225
_space_group_name_Hall '-F 4 2 3'
loop_
_atom_site_label
_atom_site_type_symbol
_atom_site_fract_x
_atom_site_fract_y
_atom_site_fract_z
Ac1 Ac 0.0000 0.0000 0.0000
Pm1 Pm 0.0000 0.0000 0.5000
Bi1 Bi 0.2500 0.2500 0.2500
```

## Properties
The density of states at the Fermi level is 13.536 states/eV per cell. The value obtained for the calculated formation energy is -716 meV/atom. Its total magnetization is 0.00 μB/cell. For the volume, the calculation gives 542.6 Å³ per cell. For the polymorph energy (0 for the lowest one), the calculation gives 245 meV per atom.

# 5
First-principles (PBE) data for crystalline AcPmBi2 at its relaxed geometry, as listed in Alexandria.

CIF file:
```
data_AcPmBi2
_chemical_formula_sum 'Ac3 Pm3 Bi6'
_cell_length_a 4.6757
_cell_length_b 4.6757
_cell_length_c 24.2943
_cell_angle_alpha 90.00
_cell_angle_beta 90.00
_cell_angle_gamma 120.00
_space_group_name_H-M_alt 'R 3 m'
_space_group_IT_number 160
_space_group_name_Hall 'R 3 -2"'
loop_
_atom_site_label
_atom_site_type_symbol
_atom_site_fract_x
_atom_site_fract_y
_atom_site_fract_z
Ac1 Ac 0.0000 0.0000 0.0000
Pm1 Pm 0.0000 0.0000 0.8293
Bi1 Bi 0.0000 0.0000 0.4184
Bi2 Bi 0.0000 0.0000 0.5772
```

## Properties
The density of states at the Fermi level is 1.054 states/eV per cell. The value obtained for the calculated formation energy is -844 meV/atom. Its total magnetization is 0.00 μB/cell. For the volume, the calculation gives 460.0 Å³ per cell. For the polymorph energy (0 for the lowest one), the calculation gives 117 meV per atom.

# 6
First-principles (PBE) data for crystalline AcPm2Bi at its relaxed geometry, as listed in Alexandria.

CIF file:
```
data_AcPm2Bi
_chemical_formula_sum 'Ac3 Pm6 Bi3'
_cell_length_a 4.2190
_cell_length_b 4.2190
_cell_length_c 30.0359
_cell_angle_alpha 90.00
_cell_angle_beta 90.00
_cell_angle_gamma 120.00
_space_group_name_H-M_alt 'R 3 m'
_space_group_IT_number 160
_space_group_name_Hall 'R 3 -2"'
loop_
_atom_site_label
_atom_site_type_symbol
_atom_site_fract_x
_atom_site_fract_y
_atom_site_fract_z
Ac1 Ac 0.0000 0.0000 0.0000
Pm1 Pm 0.0000 0.0000 0.5664
Pm2 Pm 0.0000 0.0000 0.7663
Bi1 Bi 0.0000 0.0000 0.1661
```

## Properties
The density of states at the Fermi level is 10.741 states/eV per cell. The value obtained for the calculated formation energy is -272 meV/atom. Its total magnetization is 0.47 μB/cell. For the volume, the calculation gives 463.0 Å³ per cell. For the polymorph energy (0 for the lowest one), the calculation gives 116 meV per atom.

no.,raw total energy (eV/atom)
1,-5.1754
2,-5.0774
3,-4.9033
4,-4.8708
5,-4.9992
6,-4.6450